# YInPd PBE-GGA optimized geometry
data_YInPd
_chemical_formula_sum 'Y3 In3 Pd3'
_cell_length_a 7.495
_cell_length_b 7.495
_cell_length_c 4.043
_cell_angle_alpha 90.00
_cell_angle_beta 90.00
_cell_angle_gamma 120.00
_space_group_name_H-M_alt 'P 1'
_space_group_IT_number 1
loop_
_space_group_symop_operation_xyz
'x,y,z'
loop_
_atom_site_label
_atom_site_type_symbol
_atom_site_fract_x
_atom_site_fract_y
_atom_site_fract_z
In1 In 0.254 0.000 0.000
In2 In 0.000 0.254 0.000
In3 In 0.746 0.746 0.000
Pd1 Pd 0.667 0.333 0.000
Pd2 Pd 0.333 0.667 0.000
Pd3 Pd 0.000 0.000 0.500
Y1 Y 0.590 0.000 0.500
Y2 Y 0.410 0.410 0.500
Y3 Y 0.000 0.590 0.500
# - E_tot (Ry per atom) = -0.412